(1)
## MgNi2Au (PBE-GGA)

Data for a geometry-optimized MgNi2Au structure.

```
MgNi2Au
1.0
8.7299 0.0187 0.0110
8.2793 2.7686 0.0110
8.2793 1.3568 2.4134
Ni Au Mg
2 1 1
Direct
0.0026 0.0026 0.0026 Ni
0.4974 0.4974 0.4974 Ni
0.2500 0.2500 0.2500 Au
0.7500 0.7500 0.7500 Mg
```

Properties
- Crystal system: trigonal
- V: 14.43 Å³/atom
- Total magnetic moment: 0.00 μB/f.u.
- Final energy: -4.025 eV per atom
- Energy of formation from the pure elements: 0.08 eV per atom

***

(2)
## Mg2NiAu4 (PBE-GGA)

Data for a geometry-optimized Mg2NiAu4 structure.

```
Mg2NiAu4
1.0
5.0719 -0.7847 -2.2641
-2.7548 4.7814 -1.0076
-0.4521 0.7847 5.5359
Mg Au Ni
2 4 1
Direct
0.5000 0.0000 0.5000 Mg
0.5000 0.5000 0.0000 Mg
0.5000 0.5000 0.5000 Au
0.5000 0.0000 0.0000 Au
0.0000 0.5000 0.0000 Au
0.0000 0.0000 0.5000 Au
0.0000 0.0000 0.0000 Ni
```

Properties
- Crystal system: tetragonal
- V: 17.99 Å³/atom
- Total magnetic moment: 0.00 μB/f.u.
- Final energy: -3.498 eV per atom
- Energy of formation from the pure elements: -0.34 eV per atom

***

(3)
## MgNiAu (PBE-GGA)

Data for a geometry-optimized MgNiAu structure.

```
MgNiAu
1.0
4.3522 0.0000 0.0000
-2.1761 3.7691 0.0000
0.0000 0.0000 2.8421
Au Ni Mg
1 1 1
Direct
0.0000 0.0000 0.9689 Au
0.3333 0.6667 0.6706 Ni
0.6667 0.3333 0.3605 Mg
```

Properties
- Crystal system: trigonal
- V: 15.54 Å³/atom
- Relative energy among the computed polymorphs: 0.058 eV/atom
- Total magnetic moment: 0.00 μB/f.u.
- Final energy: -3.728 eV per atom
- Energy of formation from the pure elements: -0.18 eV per atom

***

(4)
## MgNi2Au (PBE-GGA)

Data for a geometry-optimized MgNi2Au structure.

```
MgNi2Au
1.0
3.8466 0.0000 0.0000
0.0000 3.8428 0.0000
0.0000 0.0000 3.7752
Au Ni Mg
1 2 1
Direct
0.5000 0.0000 0.5000 Au
0.0000 0.0000 0.0000 Ni
0.5000 0.5000 0.0000 Ni
0.0000 0.5000 0.5000 Mg
```

Properties
- Crystal system: tetragonal
- V: 13.95 Å³/atom
- Total magnetic moment: 0.50 μB/f.u.
- Final energy: -4.303 eV per atom
- Energy of formation from the pure elements: -0.19 eV per atom

***

(5)
## Mg2NiAu (PBE-GGA)

Data for a geometry-optimized Mg2NiAu structure.

```
Mg2NiAu
1.0
8.7929 0.0446 0.0263
8.2683 2.9920 0.0263
8.2683 1.4716 2.6052
Mg Ni Au
2 1 1
Direct
0.9934 0.9934 0.9934 Mg
0.5066 0.5066 0.5066 Mg
0.2500 0.2500 0.2500 Ni
0.7500 0.7500 0.7500 Au
```

Properties
- Crystal system: trigonal
- V: 16.73 Å³/atom
- Total magnetic moment: 0.00 μB/f.u.
- Final energy: -3.208 eV per atom
- Energy of formation from the pure elements: -0.15 eV per atom

***

(6)
## MgNi2Au (PBE-GGA)

Data for a geometry-optimized MgNi2Au structure.

```
MgNi2Au
1.0
4.3933 0.0000 0.0000
0.0000 2.7398 -0.1023
0.0000 0.6655 4.7369
Au Ni Mg
1 2 1
Direct
0.5000 0.2500 0.2500 Au
0.0000 0.4917 0.5066 Ni
0.0000 0.0083 0.9934 Ni
0.5000 0.7500 0.7500 Mg
```

Properties
- Crystal system: monoclinic
- V: 14.33 Å³/atom
- Total magnetic moment: 0.03 μB/f.u.
- Final energy: -4.127 eV per atom
- Energy of formation from the pure elements: -0.02 eV per atom

***

(7)
## Mg5NiAu4 (PBE-GGA)

Data for a geometry-optimized Mg5NiAu4 structure.

```
Mg5NiAu4
1.0
-1.6534 -1.4861 2.4312
-0.8552 -2.4225 -2.0623
13.1995 -8.0910 4.0307
Mg Au Ni
5 4 1
Direct
0.5000 0.5000 0.5000 Mg
0.5000 0.5000 0.9106 Mg
0.5000 0.5000 0.7063 Mg
0.5000 0.5000 0.0894 Mg
0.5000 0.5000 0.2937 Mg
0.0000 0.0000 0.1884 Au
0.0000 0.0000 0.6041 Au
0.0000 0.0000 0.3959 Au
0.0000 0.0000 0.8116 Au
0.0000 0.0000 0.0000 Ni
```

Properties
- Crystal system: tetragonal
- V: 17.36 Å³/atom
- Total magnetic moment: 0.00 μB/f.u.
- Final energy: -3.192 eV per atom
- Energy of formation from the pure elements: -0.51 eV per atom

***

(8)
## Mg4NiAu (PBE-GGA)

Data for a geometry-optimized Mg4NiAu structure.

```
Mg4NiAu
1.0
-4.7117 -2.6774 -0.3760
-3.5940 0.2427 4.0663
-4.6423 2.7482 -0.6384
Mg Ni Au
4 1 1
Direct
0.8746 0.3751 0.3751 Mg
0.3751 0.3751 0.3751 Mg
0.3751 0.8746 0.3751 Mg
0.3751 0.3751 0.8746 Mg
0.7500 0.7500 0.7500 Ni
0.0000 0.0000 0.0000 Au
```

Properties
- Crystal system: cubic
- V: 18.89 Å³/atom
- Relative energy among the computed polymorphs: 0.417 eV/atom
- Total magnetic moment: 0.00 μB/f.u.
- Final energy: -2.357 eV per atom
- Energy of formation from the pure elements: 0.22 eV per atom

***

(9)
## MgNi2Au (PBE-GGA)

Data for a geometry-optimized MgNi2Au structure.

```
MgNi2Au
1.0
4.3040 0.0000 0.0000
2.1520 3.7274 0.0000
2.1520 1.2425 3.5142
Ni Au Mg
2 1 1
Direct
0.0000 0.0000 0.0000 Ni
0.7500 0.7500 0.7500 Ni
0.5000 0.5000 0.5000 Au
0.2500 0.2500 0.2500 Mg
```

Properties
- Crystal system: cubic
- V: 14.09 Å³/atom
- Total magnetic moment: 0.00 μB/f.u.
- Final energy: -4.226 eV per atom
- Energy of formation from the pure elements: -0.12 eV per atom

***

(10)
## MgNi4Au (PBE-GGA)

Data for a geometry-optimized MgNi4Au structure.

```
MgNi4Au
1.0
1.3041 2.7991 3.6829
-3.0431 3.3099 1.6980
-2.0386 -0.5966 4.3113
Ni Mg Au
4 1 1
Direct
0.3750 0.8751 0.3750 Ni
0.8751 0.3750 0.3750 Ni
0.3750 0.3750 0.8751 Ni
0.3750 0.3750 0.3750 Ni
0.0000 0.0000 0.0000 Mg
0.7500 0.7500 0.7500 Au
```

Properties
- Crystal system: cubic
- V: 13.08 Å³/atom
- Total magnetic moment: 0.80 μB/f.u.
- Final energy: -4.789 eV per atom
- Energy of formation from the pure elements: -0.12 eV per atom

***

(11)
## Mg5NiAu6 (PBE-GGA)

Data for a geometry-optimized Mg5NiAu6 structure.

```
Mg5NiAu6
1.0
4.4419 -0.0012 -1.2434
-3.3214 6.4460 -3.3298
-0.1733 -0.9248 7.9237
Mg Au Ni
5 6 1
Direct
0.5000 0.8311 0.1689 Mg
0.0000 0.3339 0.6661 Mg
0.5000 0.1689 0.8311 Mg
0.0000 0.6661 0.3339 Mg
0.5000 0.5000 0.5000 Mg
0.2433 0.0814 0.4046 Au
0.2622 0.7626 0.7626 Au
0.7567 0.5954 0.9186 Au
0.7378 0.2374 0.2374 Au
0.2433 0.4046 0.0814 Au
0.7567 0.9186 0.5954 Au
0.0000 0.0000 0.0000 Ni
```

Properties
- Crystal system: monoclinic
- V: 17.33 Å³/atom
- Total magnetic moment: 0.00 μB/f.u.
- Final energy: -3.283 eV per atom
- Energy of formation from the pure elements: -0.50 eV per atom

***

(12)
## MgNiAu (PBE-GGA)

Data for a geometry-optimized MgNiAu structure.

```
MgNiAu
1.0
-3.3030 -1.6317 -2.0681
-1.2761 -3.9406 0.8319
-3.6479 -0.6553 2.0278
Mg Ni Au
1 1 1
Direct
0.5000 0.5000 0.5000 Mg
0.7500 0.7500 0.7500 Ni
0.0000 0.0000 0.0000 Au
```

Properties
- Crystal system: cubic
- V: 17.77 Å³/atom
- Relative energy among the computed polymorphs: 0.134 eV/atom
- Total magnetic moment: 0.00 μB/f.u.
- Final energy: -3.652 eV per atom
- Energy of formation from the pure elements: -0.10 eV per atom

***

(13)
## MgNiAu (PBE-GGA)

Data for a geometry-optimized MgNiAu structure.

```
MgNiAu
1.0
5.4825 -0.0759 0.0820
4.6843 2.8500 0.0822
0.7983 0.2176 2.9178
Au Ni Mg
1 1 1
Direct
0.9927 0.9926 0.0073 Au
0.3311 0.3311 0.6689 Ni
0.6762 0.6763 0.3238 Mg
```

Properties
- Crystal system: tetragonal
- V: 15.47 Å³/atom
- Relative energy among the computed polymorphs: 0.025 eV/atom
- Total magnetic moment: 0.00 μB/f.u.
- Final energy: -3.761 eV per atom
- Energy of formation from the pure elements: -0.21 eV per atom